# 1
Entry from Alexandria via LeMat-Bulk: an optimized crystal structure of TbMgGa2 (PBE).

```
TbMgGa2
1.0
-3.5895 -1.8083 -2.6926
-0.4047 0.0978 4.8199
-3.5721 7.7720 -0.4577
Tb Ga Mg
2 4 2
direct
0.3333 0.6667 0.2500
0.6667 0.3333 0.7500
0.6667 0.3333 0.4020
0.6667 0.3333 0.0980
0.3333 0.6667 0.9020
0.3333 0.6667 0.5980
0.0000 0.0000 0.0000
0.0000 0.0000 0.5000
```

ΔE_f = -1.43 eV/f.u.
Total magnetization = 0.000 μB per atom


# 2
Entry from Alexandria via LeMat-Bulk: an optimized crystal structure of KAcTiS4 (PBE).

```
KAcTiS4
1.0
7.0605 0.0000 0.0798
0.0000 6.7663 0.0000
-2.6679 0.0000 8.5229
Ti S Ac K
2 8 2 2
direct
0.7808 0.2500 0.6891
0.2192 0.7500 0.3109
0.0046 0.4940 0.2759
0.9954 0.9940 0.7241
0.5977 0.2500 0.4359
0.0046 0.0060 0.2759
0.4225 0.7500 0.1574
0.5775 0.2500 0.8426
0.4023 0.7500 0.5641
0.9954 0.5060 0.7241
0.2311 0.2500 0.5550
0.7689 0.7500 0.4450
0.7147 0.7500 0.9305
0.2853 0.2500 0.0695
```

Energy relative to the elements, uncorrected = -1.6658 eV/atom
Total magnetization = 0.000 μB per atom


Density of states at the Fermi level in states/eV per atom, matching the order above: 0.517 0.000
E in eV per cell, matching the order above: -27.43 -82.54